No. 1
The following is a PBE+U calculation of a geometry-optimized Ca3Fe3Sb2O12 structure, from Alexandria via LeMat-Bulk.

abc: 11.089 11.089 11.089
angles: 109.47 109.47 109.47
Last column: magnetic moment on the atom in μB.
Atoms (fractional coordinates):
Ca: 0.250 0.375 0.125  0.00
Ca: 0.750 0.625 0.875  0.00
Ca: 0.750 0.125 0.375  0.00
Ca: 0.125 0.250 0.375  0.00
Ca: 0.375 0.750 0.125  0.00
Ca: 0.250 0.875 0.625  0.00
Ca: 0.875 0.750 0.625  0.00
Ca: 0.625 0.250 0.875  0.00
Ca: 0.375 0.125 0.250  0.00
Ca: 0.625 0.875 0.750  0.00
Ca: 0.125 0.375 0.750  0.00
Ca: 0.875 0.625 0.250  0.00
Fe: 0.250 0.625 0.375  4.13
Fe: 0.750 0.375 0.625  4.13
Fe: 0.750 0.875 0.125  4.13
Fe: 0.375 0.250 0.625  4.13
Fe: 0.625 0.750 0.375  4.13
Fe: 0.250 0.125 0.875  4.13
Fe: 0.125 0.750 0.875  4.13
Fe: 0.875 0.250 0.125  4.13
Fe: 0.625 0.375 0.250  4.13
Fe: 0.375 0.625 0.750  4.13
Fe: 0.875 0.125 0.750  4.13
Fe: 0.125 0.875 0.250  4.13
Sb: 0.000 0.000 0.000  0.01
Sb: 0.500 0.000 0.500  0.01
Sb: 0.000 0.500 0.500  0.01
Sb: 0.500 0.000 0.000  0.01
Sb: 0.500 0.500 0.000  0.01
Sb: 0.500 0.500 0.500  0.01
Sb: 0.000 0.000 0.500  0.01
Sb: 0.000 0.500 0.000  0.01
O: 0.477 0.380 0.302  0.10
O: 0.523 0.620 0.698  0.10
O: 0.578 0.175 0.198  0.10
O: 0.922 0.120 0.597  0.10
O: 0.302 0.477 0.380  0.10
O: 0.325 0.922 0.302  0.10
O: 0.422 0.825 0.802  0.10
O: 0.078 0.880 0.403  0.10
O: 0.698 0.523 0.620  0.10
O: 0.675 0.078 0.698  0.10
O: 0.023 0.325 0.903  0.10
O: 0.198 0.578 0.175  0.10
O: 0.120 0.023 0.198  0.10
O: 0.977 0.675 0.097  0.10
O: 0.802 0.422 0.825  0.10
O: 0.880 0.977 0.802  0.10
O: 0.597 0.922 0.120  0.10
O: 0.175 0.477 0.597  0.10
O: 0.403 0.078 0.880  0.10
O: 0.825 0.523 0.403  0.10
O: 0.903 0.023 0.325  0.10
O: 0.380 0.578 0.903  0.10
O: 0.097 0.977 0.675  0.10
O: 0.620 0.422 0.097  0.10
O: 0.380 0.302 0.477  0.10
O: 0.578 0.903 0.380  0.10
O: 0.620 0.698 0.523  0.10
O: 0.422 0.097 0.620  0.10
O: 0.120 0.597 0.922  0.10
O: 0.023 0.198 0.120  0.10
O: 0.880 0.403 0.078  0.10
O: 0.977 0.802 0.880  0.10
O: 0.325 0.903 0.023  0.10
O: 0.922 0.302 0.325  0.10
O: 0.675 0.097 0.977  0.10
O: 0.078 0.698 0.675  0.10
O: 0.175 0.198 0.578  0.10
O: 0.477 0.597 0.175  0.10
O: 0.825 0.802 0.422  0.10
O: 0.523 0.403 0.825  0.10
O: 0.302 0.325 0.922  0.10
O: 0.698 0.675 0.078  0.10
O: 0.198 0.120 0.023  0.10
O: 0.802 0.880 0.977  0.10
O: 0.903 0.380 0.578  0.10
O: 0.097 0.620 0.422  0.10
O: 0.597 0.175 0.477  0.10
O: 0.403 0.825 0.523  0.10

Properties
For the total energy, the calculation gives -6.5361 eV/atom.

No. 2
The following is a PBE+U calculation of a geometry-optimized Dy2V2O7 structure, from Alexandria via LeMat-Bulk.

abc: 5.026 5.123 5.026
angles: 90.00 94.71 90.00
Last column: magnetic moment on the atom in μB.
Atoms (fractional coordinates):
Dy: 0.745 0.500 0.745  -0.01
Dy: 0.255 0.500 0.255  -0.01
V: 0.729 0.000 0.271  1.11
V: 0.271 0.000 0.729  1.11
O: 0.000 0.237 0.500  -0.03
O: 0.500 0.763 0.000  -0.03
O: 0.000 0.763 0.500  -0.03
O: 0.500 0.237 0.000  -0.03
O: 0.000 0.000 0.000  -0.07
O: 0.500 0.775 0.500  -0.04
O: 0.500 0.225 0.500  -0.04

Properties
As for the energy above the most stable polymorph in this dataset: 332 meV/atom. For the total energy, the calculation gives -7.8001 eV/atom.